(1)
Entry from Alexandria: a relaxed structure of Sr5Ag2Br12 (PBE). Values from VASP.

Quantum ESPRESSO input file:
```
&SYSTEM
  ibrav = 0, nat = 19, ntyp = 3
/
ATOMIC_SPECIES
Sr 87.62 Sr.upf
Ag 107.87 Ag.upf
Br 79.90 Br.upf
CELL_PARAMETERS angstrom
8.1632 -4.2258 0.0000
8.1632 4.2258 0.0000
-3.4985 0.0000 10.2956
ATOMIC_POSITIONS crystal
Sr 0.0000 0.0000 0.0000
Sr 0.2747 0.2747 0.1309
Sr 0.2803 0.2803 0.5431
Sr 0.7197 0.7197 0.4569
Sr 0.7253 0.7253 0.8691
Ag 0.3258 0.6742 0.5000
Ag 0.6742 0.3258 0.5000
Br 0.0774 0.5854 0.3716
Br 0.1092 0.6230 0.0155
Br 0.1293 0.1293 0.2844
Br 0.3770 0.8908 0.9845
Br 0.4146 0.9226 0.6284
Br 0.4707 0.4707 0.6996
Br 0.5293 0.5293 0.3004
Br 0.5854 0.0774 0.3716
Br 0.6230 0.1092 0.0155
Br 0.8707 0.8707 0.7156
Br 0.8908 0.3770 0.9845
Br 0.9226 0.4146 0.6284
```

Uncorrected energy   -3.485 eV per atom
SG   C2/m, No. 12
Formation energy without anion corrections   -1.69 eV per atom

***

(2)
Entry from Alexandria: a relaxed structure of TlAgC (PBE). Values from VASP.

Quantum ESPRESSO input file:
```
&SYSTEM
  ibrav = 0, nat = 6, ntyp = 3
/
ATOMIC_SPECIES
Tl 204.38 Tl.upf
Ag 107.87 Ag.upf
C 12.01 C.upf
CELL_PARAMETERS angstrom
2.0390 -3.5313 0.0000
2.0390 3.5313 0.0000
0.0000 0.0000 8.6298
ATOMIC_POSITIONS crystal
Tl 0.1658 0.8342 0.7500
Tl 0.8342 0.1658 0.2500
Ag 0.5000 0.5000 0.0000
Ag 0.5000 0.5000 0.5000
C 0.4990 0.5010 0.7500
C 0.5010 0.4990 0.2500
```

ΔE_f   1179 meV per atom
Uncorrected energy   -3.634 eV per atom
SG   Cmcm, No. 63

***

(3)
Entry from Alexandria: a relaxed structure of Ba5Sb2 (PBE). Values from VASP.

Quantum ESPRESSO input file:
```
&SYSTEM
  ibrav = 0, nat = 14, ntyp = 2
/
ATOMIC_SPECIES
Ba 137.33 Ba.upf
Sb 121.76 Sb.upf
CELL_PARAMETERS angstrom
9.4156 -3.9164 0.0000
9.4156 3.9164 0.0000
-1.2118 0.0000 9.2581
ATOMIC_POSITIONS crystal
Ba 0.0964 0.9036 0.7500
Ba 0.1418 0.2992 0.3203
Ba 0.2966 0.5248 0.0767
Ba 0.2992 0.1418 0.8203
Ba 0.4752 0.7034 0.4233
Ba 0.5248 0.2966 0.5767
Ba 0.7008 0.8582 0.1797
Ba 0.7034 0.4752 0.9233
Ba 0.8582 0.7008 0.6797
Ba 0.9036 0.0964 0.2500
Sb 0.0895 0.6989 0.4161
Sb 0.3011 0.9105 0.0839
Sb 0.6989 0.0895 0.9161
Sb 0.9105 0.3011 0.5839
```

Uncorrected energy   -3.265 eV per atom
SG   C2/c, No. 15
Formation energy without anion corrections   -0.71 eV per atom